VASP calculation (PBE) on a geometry-optimized PaBiW structure.

The space group is F-43m (No. 216) and the conventional cell measures 6.780, 6.780 and 6.780 Å, with angles of 90.00, 90.00 and 90.00 degrees. Symmetry generates all atoms from Pa at (0.000, 0.000, 0.000), Bi at (0.000, 0.000, 0.500) and W at (0.250, 0.250, 0.250).

Its total energy is -98.59 eV/cell.